Entry 1:
The following is a GGA-PBE calculation of a geometry-optimized Zr6TlGa structure, from the Alexandria database.

a b c (Å): 4.429 4.429 8.839
angles (deg): 90.00 90.00 90.00
Element x y z (fractional)
Zr: 0.500 0.500 0.000
Zr: 0.500 0.500 0.500
Zr: 0.500 0.000 0.260
Zr: 0.500 0.000 0.740
Zr: 0.000 0.500 0.260
Zr: 0.000 0.500 0.740
Tl: 0.000 0.000 0.000
Ga: 0.000 0.000 0.500

- DFT total energy (eV per atom) = -7.302
- energy relative to the lowest polymorph listed for this composition (meV/atom) = 0
- Fermi-level density of states (states/eV per atom) = 0.955
- space-group type = P4/mmm (123)
- E_form (eV/f.u.) = -1.73

***

Entry 2:
The following is a GGA-PBE calculation of a geometry-optimized Zr12Tl3Ga structure, from the Alexandria database.

a b c (Å): 4.464 4.464 17.770
angles (deg): 90.00 90.00 90.00
Element x y z (fractional)
Zr: 0.500 0.500 0.000
Zr: 0.500 0.500 0.246
Zr: 0.500 0.500 0.500
Zr: 0.500 0.500 0.754
Zr: 0.500 0.000 0.118
Zr: 0.500 0.000 0.373
Zr: 0.500 0.000 0.627
Zr: 0.500 0.000 0.882
Zr: 0.000 0.500 0.118
Zr: 0.000 0.500 0.373
Zr: 0.000 0.500 0.627
Zr: 0.000 0.500 0.882
Tl: 0.000 0.000 0.246
Tl: 0.000 0.000 0.500
Tl: 0.000 0.000 0.754
Ga: 0.000 0.000 0.000

- DFT total energy (eV per atom) = -7.209
- Fermi-level density of states (states/eV per atom) = 0.874
- space-group type = P4/mmm (123)
- E_form (eV/f.u.) = -2.64

***

Entry 3:
The following is a GGA-PBE calculation of a geometry-optimized ZrTlGa2 structure, from the Alexandria database.

a b c (Å): 4.957 4.957 4.957
angles (deg): 60.00 60.00 60.00
Element x y z (fractional)
Tl: 0.500 0.500 0.500
Ga: 0.250 0.250 0.250
Ga: 0.750 0.750 0.750
Zr: 0.000 0.000 0.000

- DFT total energy (eV per atom) = -4.072
- energy relative to the lowest polymorph listed for this composition (meV/atom) = 85
- Fermi-level density of states (states/eV per atom) = 0.940
- space-group type = Fm-3m (225)
- E_form (eV/f.u.) = 0.68

***

Entry 4:
The following is a GGA-PBE calculation of a geometry-optimized ZrTl2Ga2 structure, from the Alexandria database.

a b c (Å): 7.415 7.415 4.093
angles (deg): 90.00 90.00 90.00
Element x y z (fractional)
Tl: 0.177 0.677 0.500
Tl: 0.677 0.823 0.500
Tl: 0.823 0.323 0.500
Tl: 0.323 0.177 0.500
Ga: 0.373 0.873 0.000
Ga: 0.873 0.627 0.000
Ga: 0.627 0.127 0.000
Ga: 0.127 0.373 0.000
Zr: 0.000 0.000 0.000
Zr: 0.500 0.500 0.000

- DFT total energy (eV per atom) = -3.774
- Fermi-level density of states (states/eV per atom) = 0.626
- space-group type = P4/mbm (127)
- E_form (eV/f.u.) = 0.46

***

Entry 5:
The following is a GGA-PBE calculation of a geometry-optimized Tm3Ga4 structure, from the Alexandria database.

a b c (Å): 4.070 5.737 13.864
angles (deg): 90.00 90.00 110.84
Element x y z (fractional)
Tm: 0.702 0.404 0.101
Tm: 0.300 0.601 0.900
Tm: 0.702 0.404 0.400
Tm: 0.300 0.601 0.601
Tm: 0.998 0.996 0.250
Tm: 0.005 0.009 0.750
Ga: 0.271 0.541 0.250
Ga: 0.732 0.464 0.750
Ga: 0.415 0.831 0.102
Ga: 0.001 0.002 0.000
Ga: 0.415 0.831 0.399
Ga: 0.587 0.174 0.899
Ga: 0.001 0.002 0.500
Ga: 0.587 0.174 0.602

- DFT total energy (eV per atom) = -4.224
- energy relative to the lowest polymorph listed for this composition (meV/atom) = 24
- Fermi-level density of states (states/eV per atom) = 0.543
- space-group type = Cmcm (63)
- E_form (eV/f.u.) = -4.05

***

Entry 6:
The following is a GGA-PBE calculation of a geometry-optimized TmGa structure, from the Alexandria database.

a b c (Å): 5.540 5.671 5.671
angles (deg): 100.61 90.00 90.00
Element x y z (fractional)
Tm: 0.750 0.157 0.540
Tm: 0.250 0.843 0.460
Tm: 0.750 0.540 0.157
Tm: 0.250 0.460 0.843
Ga: 0.750 0.678 0.678
Ga: 0.250 0.322 0.322
Ga: 0.500 0.000 0.000
Ga: 0.000 0.000 0.000

- DFT total energy (eV per atom) = -4.281
- Fermi-level density of states (states/eV per atom) = 0.577
- space-group type = Cmcm (63)
- E_form (eV/f.u.) = -1.06

***

Entry 7:
The following is a GGA-PBE calculation of a geometry-optimized Tm5Ga4 structure, from the Alexandria database.

a b c (Å): 4.381 5.795 9.480
angles (deg): 76.11 76.64 67.79
Element x y z (fractional)
Tm: 0.101 0.189 0.610
Tm: 0.899 0.811 0.390
Tm: 0.756 0.663 0.825
Tm: 0.244 0.337 0.175
Tm: 0.000 0.000 0.000
Ga: 0.450 0.265 0.835
Ga: 0.550 0.735 0.165
Ga: 0.380 0.630 0.610
Ga: 0.620 0.370 0.390

- DFT total energy (eV per atom) = -4.387
- Fermi-level density of states (states/eV per atom) = 0.664
- space-group type = C2/m (12)
- E_form (eV/f.u.) = -5.02

***

Entry 8:
The following is a GGA-PBE calculation of a geometry-optimized Tm3Ga4 structure, from the Alexandria database.

a b c (Å): 4.093 4.175 9.481
angles (deg): 102.72 102.47 90.00
Element x y z (fractional)
Tm: 0.500 0.000 0.000
Tm: 0.186 0.186 0.371
Tm: 0.814 0.814 0.629
Ga: 0.067 0.567 0.134
Ga: 0.933 0.433 0.866
Ga: 0.648 0.648 0.296
Ga: 0.352 0.352 0.704

- DFT total energy (eV per atom) = -4.248
- energy relative to the lowest polymorph listed for this composition (meV/atom) = 0
- Fermi-level density of states (states/eV per atom) = 0.718
- space-group type = Immm (71)
- E_form (eV/f.u.) = -4.21